## La2ZrAs3Pt4 (PBE)

Data for La2ZrAs3Pt4 after structural relaxation.

## Properties
crystal system = tetragonal
volume = 20.8 A^3/atom
total energy = -66.08 eV per cell
E_form = -0.9565 eV per atom

a b c (Å): 4.3534 4.3534 10.9526
angles (deg): 90.00 90.00 90.00
Fractional coordinates of all 10 atoms:
As 0.5000 0.0000 0.8694
La 0.5000 0.0000 0.2246
Pt 0.5000 0.0000 0.6426
La 0.0000 0.5000 0.7754
Pt 0.5000 0.5000 0.0000
As 0.0000 0.0000 0.5000
Zr 0.5000 0.5000 0.5000
Pt 0.0000 0.0000 0.0000
Pt 0.0000 0.5000 0.3574
As 0.0000 0.5000 0.1306

---

## LaPuAs2 (PBE)

Data for LaPuAs2 after structural relaxation.

## Properties
crystal system = trigonal
volume = 27.6 A^3/atom
polymorph energy (0 for the lowest one) = 125 meV/atom
total energy = -33.17 eV per cell
E_form = -1.1536 eV per atom

a b c (Å): 4.2013 4.2013 7.6111
angles (deg): 73.98 73.98 60.00
Last column: magnetic moment on the atom in μB.
Fractional coordinates of all 4 atoms:
La 0.4974 0.4974 0.5079  0.01
As 0.2566 0.2566 0.2301  -0.12
Pu 0.6686 0.6686 0.9942  5.05
As 0.0774 0.0774 0.7679  -0.10

---

## LaPuAs (PBE)

Data for LaPuAs after structural relaxation.

## Properties
crystal system = trigonal
volume = 31.1 A^3/atom
total energy = -25.70 eV per cell
E_form = -0.5959 eV per atom

a b c (Å): 6.6040 4.0395 4.0395
angles (deg): 120.00 90.00 90.00
Last column: magnetic moment on the atom in μB.
Fractional coordinates of all 3 atoms:
Pu 0.2683 0.3333 0.6667  5.51
As 0.0083 0.0000 0.0000  -0.06
La 0.7233 0.6667 0.3333  0.24

---

## LaPuAs2 (PBE)

Data for LaPuAs2 after structural relaxation.

## Properties
crystal system = trigonal
volume = 27.2 A^3/atom
polymorph energy (0 for the lowest one) = 0 meV/atom
total energy = -33.67 eV per cell
E_form = -1.2782 eV per atom

a b c (Å): 4.2597 4.2597 7.3532
angles (deg): 73.16 73.16 60.00
Last column: magnetic moment on the atom in μB.
Fractional coordinates of all 4 atoms:
As 0.7443 0.7443 0.7672  0.10
La 0.5000 0.5000 0.5000  0.00
As 0.2557 0.2557 0.2328  0.10
Pu 0.0000 0.0000 0.0000  -5.03

---

## LaPu3As4 (PBE)

Data for LaPu3As4 after structural relaxation.

## Properties
crystal system = cubic
volume = 26.3 A^3/atom
total energy = -75.48 eV per cell
E_form = -1.1204 eV per atom

a b c (Å): 5.9443 5.9443 5.9443
angles (deg): 90.00 90.00 90.00
Last column: magnetic moment on the atom in μB.
Fractional coordinates of all 8 atoms:
As 0.0000 0.0000 0.5000  -0.13
La 0.0000 0.0000 0.0000  -0.01
As 0.5000 0.5000 0.5000  -0.17
Pu 0.0000 0.5000 0.5000  5.02
Pu 0.5000 0.5000 0.0000  5.02
Pu 0.5000 0.0000 0.5000  5.02
As 0.5000 0.0000 0.0000  -0.13
As 0.0000 0.5000 0.0000  -0.13

---

## LaPuAs2 (PBE)

Data for LaPuAs2 after structural relaxation.

## Properties
crystal system = trigonal
volume = 28.1 A^3/atom
polymorph energy (0 for the lowest one) = 189 meV/atom
total energy = -32.92 eV per cell
E_form = -1.0896 eV per atom

a b c (Å): 4.2157 4.2158 7.2967
angles (deg): 90.00 90.00 120.00
Last column: magnetic moment on the atom in μB.
Fractional coordinates of all 4 atoms:
As 0.6667 0.8334 0.7656  -0.12
Pu 0.0000 0.5000 0.0000  5.09
La 0.0000 0.5000 0.5000  0.04
As 0.3333 0.1666 0.2344  -0.12

---

## La5PuAs6 (PBE)

Data for La5PuAs6 after structural relaxation.

## Properties
crystal system = monoclinic
volume = 28.9 A^3/atom
total energy = -84.38 eV per cell
E_form = -1.4597 eV per atom

a b c (Å): 7.5152 7.5152 7.5165
angles (deg): 99.61 99.61 119.99
Last column: magnetic moment on the atom in μB.
Fractional coordinates of all 12 atoms:
As 0.4058 0.0815 0.2447  -0.05
Pu 0.0000 0.0000 0.0000  5.04
As 0.0815 0.4058 0.2447  -0.05
La 0.5000 0.5000 0.5000  0.00
As 0.2426 0.2426 0.7550  -0.04
As 0.7574 0.7574 0.2450  -0.04
La 0.3338 0.6662 0.0000  0.00
La 0.8321 0.1679 0.5000  0.00
As 0.9185 0.5942 0.7553  -0.05
La 0.6662 0.3338 0.0000  0.00
La 0.1679 0.8321 0.5000  0.00
As 0.5942 0.9185 0.7553  -0.05

---

## LaPuSc2As4 (PBE)

Data for LaPuSc2As4 after structural relaxation.

## Properties
crystal system = monoclinic
volume = 23.9 A^3/atom
total energy = -60.86 eV per cell
E_form = -1.2926 eV per atom

a b c (Å): 4.0870 7.0150 7.0675
angles (deg): 70.39 90.00 90.00
Last column: magnetic moment on the atom in μB.
Fractional coordinates of all 8 atoms:
As 0.5000 0.2256 0.7651  0.04
Pu 0.5000 0.5000 0.0000  -5.04
Sc 0.5000 0.0000 0.5000  0.01
La 0.0000 0.5000 0.5000  -0.01
As 0.5000 0.7744 0.2349  0.04
As 0.0000 0.7689 0.7511  0.07
Sc 0.0000 0.0000 0.0000  -0.02
As 0.0000 0.2311 0.2489  0.07

---

## LaPuAsSe (PBE)

Data for LaPuAsSe after structural relaxation.

## Properties
E_form (uncorrected) = -1.563 eV per atom
crystal system = trigonal
volume = 27.2 A^3/atom
total energy = -33.65 eV per cell

a b c (Å): 4.2630 4.2630 7.3450
angles (deg): 73.13 73.13 60.00
Last column: magnetic moment on the atom in μB.
Fractional coordinates of all 4 atoms:
As 0.4481 0.4481 0.6556  -0.07
Pu 0.1925 0.1925 0.4226  5.29
Se 0.9396 0.9396 0.1812  -0.06
La 0.6962 0.6962 0.9114  0.06

---

## LaSmPu2As4 (PBE)

Data for LaSmPu2As4 after structural relaxation.

## Properties
crystal system = monoclinic
volume = 26.5 A^3/atom
total energy = -67.08 eV per cell
E_form = -1.2719 eV per atom

a b c (Å): 4.2212 7.2767 7.3112
angles (deg): 70.46 90.00 90.00
Last column: magnetic moment on the atom in μB.
Fractional coordinates of all 8 atoms:
As 0.0000 0.7645 0.7409  0.10
As 0.5000 0.2384 0.7498  0.10
Pu 0.0000 0.0000 0.0000  -5.05
As 0.5000 0.7616 0.2502  0.10
La 0.5000 0.5000 0.0000  0.01
As 0.0000 0.2355 0.2591  0.10
Pu 0.5000 0.0000 0.5000  -4.99
Sm 0.0000 0.5000 0.5000  -0.01

---

## LaTbPu2As4 (PBE)

Data for LaTbPu2As4 after structural relaxation.

## Properties
crystal system = monoclinic
volume = 26.2 A^3/atom
total energy = -66.75 eV per cell
E_form = -1.2414 eV per atom

a b c (Å): 4.2049 7.2574 7.2751
angles (deg): 70.48 90.00 90.00
Last column: magnetic moment on the atom in μB.
Fractional coordinates of all 8 atoms:
As 0.5000 0.7568 0.2534  -0.03
Pu 0.5000 0.0000 0.5000  -4.99
Tb 0.0000 0.5000 0.5000  -0.03
As 0.0000 0.7615 0.7386  0.04
As 0.5000 0.2432 0.7466  -0.03
As 0.0000 0.2385 0.2614  0.04
Pu 0.0000 0.0000 0.0000  5.08
La 0.5000 0.5000 0.0000  0.02

---

## LaTb2PuAs4 (PBE)

Data for LaTb2PuAs4 after structural relaxation.

## Properties
crystal system = monoclinic
volume = 26.2 A^3/atom
total energy = -58.28 eV per cell
E_form = -1.3954 eV per atom

a b c (Å): 4.2042 7.2665 7.2729
angles (deg): 70.52 90.00 90.00
Last column: magnetic moment on the atom in μB.
Fractional coordinates of all 8 atoms:
La 0.0000 0.5000 0.5000  0.01
As 0.0000 0.2476 0.2438  -0.08
As 0.5000 0.7576 0.2407  -0.04
Tb 0.5000 0.0000 0.5000  -0.02
Tb 0.0000 0.0000 0.0000  0.01
As 0.0000 0.7524 0.7562  -0.08
Pu 0.5000 0.5000 0.0000  5.05
As 0.5000 0.2424 0.7593  -0.04

---

| no. | spin magnetization (Bohr magnetons per cell) |
| --- | --- |
| 1 | 0.0 |
| 2 | 5.0 |
| 3 | 6.7 |
| 4 | 5.0 |
| 5 | 14.9 |
| 6 | 5.0 |
| 7 | 4.9 |
| 8 | 4.9 |
| 9 | 5.6 |
| 10 | 9.9 |
| 11 | 0.1 |
| 12 | 4.9 |